Ca2Mg5Ga4 | PBE | relaxed

a = 6.1346 Å, b = 6.5525 Å, c = 8.1349 Å
α = 79.83°, β = 67.85°, γ = 62.09°
Positions (direct):
Ca 0.8502 0.0000 0.2997
Ca 0.1498 0.0000 0.7003
Mg 0.5000 0.0000 0.0000
Mg 0.0000 0.5000 0.0000
Mg 0.5000 0.5000 0.0000
Mg 0.2500 0.5000 0.5000
Mg 0.7500 0.5000 0.5000
Ga 0.5334 0.2285 0.7047
Ga 0.4666 0.7715 0.2953
Ga 0.2381 0.2285 0.2953
Ga 0.7619 0.7715 0.7047

DFT formation energy, eV/atom: -0.171
SG: No. 69
DFT total energy, eV for the cell shown: -25.961